A plane-wave DFT calculation with PBE was carried out for an optimized crystal structure of CsDySnTe3.

Properties
Energy relative to the lowest polymorph listed for this composition = 0.0 meV/atom
M_tot = 0.0 μB/f.u.
Space group = No. 62

Cell: 17.8043 4.4610 12.6375 Å, 90.00 90.00 90.00°
Atoms (fractional coordinates):
Cs 0.2724 0.2500 0.0746
Cs 0.7724 0.2500 0.4254
Cs 0.2276 0.7500 0.5746
Cs 0.7276 0.7500 0.9254
Dy 0.0096 0.2500 0.1463
Dy 0.5096 0.2500 0.3537
Dy 0.4904 0.7500 0.6463
Dy 0.9904 0.7500 0.8537
Sn 0.5347 0.7500 0.0828
Sn 0.0347 0.7500 0.4172
Sn 0.9653 0.2500 0.5828
Sn 0.4653 0.2500 0.9172
Te 0.1005 0.7500 0.0384
Te 0.6293 0.2500 0.1703
Te 0.4167 0.7500 0.2375
Te 0.9167 0.7500 0.2625
Te 0.1293 0.2500 0.3297
Te 0.6005 0.7500 0.4616
Te 0.3995 0.2500 0.5384
Te 0.8707 0.7500 0.6703
Te 0.0833 0.2500 0.7375
Te 0.5833 0.2500 0.7625
Te 0.3707 0.7500 0.8297
Te 0.8995 0.2500 0.9616

A plane-wave DFT calculation with PBE was carried out for an optimized crystal structure of CsDySnTe3.

Properties
Energy relative to the lowest polymorph listed for this composition = 112.6 meV/atom
M_tot = 0.0 μB/f.u.
Space group = No. 63

Cell: 9.0822 9.0822 12.8514 Å, 90.00 90.00 151.87°
Atoms (fractional coordinates):
Cs 0.2803 0.7197 0.2500
Cs 0.7197 0.2803 0.7500
Dy 0.0000 0.0000 0.0000
Dy 0.0000 0.0000 0.5000
Sn 0.5925 0.4075 0.2500
Sn 0.4075 0.5925 0.7500
Te 0.6210 0.3790 0.0099
Te 0.9802 0.0198 0.2500
Te 0.6210 0.3790 0.4901
Te 0.3790 0.6210 0.5099
Te 0.0198 0.9802 0.7500
Te 0.3790 0.6210 0.9901

A plane-wave DFT calculation with PBE was carried out for an optimized crystal structure of CsDyTa.

Properties
M_tot = 1.2 μB/f.u.
Energy = -3.5171 eV per atom
Space group = No. 216

Cell: 5.0648 5.0648 5.0648 Å, 60.00 60.00 60.00°
Atoms (fractional coordinates):
Cs 0.0000 0.0000 0.0000
Dy 0.7500 0.7500 0.7500
Ta 0.2500 0.2500 0.2500

What did the first record say?
A plane-wave DFT calculation with PBE was carried out for an optimized crystal structure of CsDySnTe3.

Properties
Energy relative to the lowest polymorph listed for this composition = 0.0 meV/atom
M_tot = 0.0 μB/f.u.
Space group = No. 62

Cell: 17.8043 4.4610 12.6375 Å, 90.00 90.00 90.00°
Atoms (fractional coordinates):
Cs 0.2724 0.2500 0.0746
Cs 0.7724 0.2500 0.4254
Cs 0.2276 0.7500 0.5746
Cs 0.7276 0.7500 0.9254
Dy 0.0096 0.2500 0.1463
Dy 0.5096 0.2500 0.3537
Dy 0.4904 0.7500 0.6463
Dy 0.9904 0.7500 0.8537
Sn 0.5347 0.7500 0.0828
Sn 0.0347 0.7500 0.4172
Sn 0.9653 0.2500 0.5828
Sn 0.4653 0.2500 0.9172
Te 0.1005 0.7500 0.0384
Te 0.6293 0.2500 0.1703
Te 0.4167 0.7500 0.2375
Te 0.9167 0.7500 0.2625
Te 0.1293 0.2500 0.3297
Te 0.6005 0.7500 0.4616
Te 0.3995 0.2500 0.5384
Te 0.8707 0.7500 0.6703
Te 0.0833 0.2500 0.7375
Te 0.5833 0.2500 0.7625
Te 0.3707 0.7500 0.8297
Te 0.8995 0.2500 0.9616